Ac2Te2O: relaxed, PBE.

Computed properties:
SG = No. 36
ΔE_f (raw) = -2.21 eV/atom
Energy above the lowest structure with this stoichiometry = 53.9 meV per atom

Unit cell a=4.4295 b=8.2286 c=9.5699 alpha=90.00 beta=103.38 gamma=90.00
With the nearest neighbours (Å) after each atom.
Fractional coordinates of all 10 atoms:
Ac1 0.5782 0.6113 0.1564  1 O 2.35
Ac2 0.1531 0.9814 0.3062  2 O 2.45
Ac3 0.8469 0.4814 0.6938  2 O 2.45
Ac4 0.4218 0.1113 0.8436  1 O 2.35
Te1 0.0323 0.2963 0.0646  6 Ac 3.38-3.77, 2 O 3.65
Te2 0.2137 0.5949 0.4275  5 Ac 3.36-3.45, 3 O 3.58-3.69
Te3 0.7863 0.0949 0.5725  5 Ac 3.36-3.45, 3 O 3.58-3.69
Te4 0.9677 0.7963 0.9354  6 Ac 3.38-3.77, 2 O 3.65
O1 0.6187 0.8817 0.2373  3 Ac 2.35-2.45
O2 0.3813 0.3817 0.7627  3 Ac 2.35-2.45



Ac4Te3O2: relaxed, PBE.

Computed properties:
SG = No. 12
ΔE_f (raw) = -1.95 eV/atom
Energy above the lowest structure with this stoichiometry = 278.5 meV per atom

Unit cell a=4.0524 b=7.6948 c=9.3995 alpha=102.30 beta=90.00 gamma=105.27
With the nearest neighbours (Å) after each atom.
Fractional coordinates of all 9 atoms:
Ac1 0.6764 0.3528 0.0989  3 O 2.53-2.76
Ac2 0.0842 0.1684 0.6961  2 O 2.75
Ac3 0.9158 0.8316 0.3039  2 O 2.75
Ac4 0.3236 0.6472 0.9011  3 O 2.53-2.76
Te1 0.3946 0.7893 0.5861  5 Ac 3.35-3.44
Te2 0.0000 0.0000 0.0000  6 Ac 3.28-3.36
Te3 0.6054 0.2107 0.4139  5 Ac 3.35-3.44
O1 0.3057 0.6114 0.1622  5 Ac 2.53-2.76
O2 0.6943 0.3886 0.8378  5 Ac 2.53-2.76



Ac2TeO5: relaxed, PBE.

Computed properties:
SG = No. 14
ΔE_f (raw) = -2.57 eV/atom
Energy above the lowest structure with this stoichiometry = 0.0 meV per atom

Unit cell a=7.4988 b=7.9979 c=9.8973 alpha=90.00 beta=110.03 gamma=90.00
With the nearest neighbours (Å) after each atom.
Fractional coordinates of all 32 atoms:
Ac1 0.7245 0.8681 0.9949  7 O 2.49-2.76
Ac2 0.2245 0.6319 0.9949  7 O 2.49-2.76
Ac3 0.5595 0.8692 0.3600  4 O 2.43-2.58
Ac4 0.0595 0.6308 0.3600  4 O 2.43-2.58
Ac5 0.9405 0.3692 0.6400  4 O 2.43-2.58
Ac6 0.4405 0.1308 0.6400  4 O 2.43-2.58
Ac7 0.7755 0.3681 0.0051  7 O 2.49-2.76
Ac8 0.2755 0.1319 0.0051  7 O 2.49-2.76
Te1 0.5546 0.3942 0.3193  3 O 1.93-2.04
Te2 0.0546 0.1058 0.3193  3 O 1.93-2.04
Te3 0.9454 0.8942 0.6807  3 O 1.93-2.04
Te4 0.4454 0.6058 0.6807  3 O 1.93-2.04
O1 0.0030 0.0941 0.1151  1 Te 1.93
O2 0.9475 0.6340 0.0983  4 Ac 2.43-2.61
O3 0.5030 0.4059 0.1151  1 Te 1.93
O4 0.4475 0.8660 0.0983  4 Ac 2.43-2.61
O5 0.8578 0.9386 0.2965  1 Te 1.95
O6 0.8942 0.3187 0.2838  1 Te 2.04
O7 0.3578 0.5614 0.2965  1 Te 1.95
O8 0.7541 0.6060 0.4030  1 Te 2.22, 1 Ac 2.48
O9 0.3942 0.1813 0.2838  1 Te 2.04
O10 0.2541 0.8940 0.4030  1 Te 2.22, 1 Ac 2.48
O11 0.7459 0.1060 0.5970  1 Te 2.22, 1 Ac 2.48
O12 0.6058 0.8187 0.7162  1 Te 2.04
O13 0.2459 0.3940 0.5970  1 Te 2.22, 1 Ac 2.48
O14 0.6422 0.4386 0.7035  1 Te 1.95
O15 0.1058 0.6813 0.7162  1 Te 2.04
O16 0.1422 0.0614 0.7035  1 Te 1.95
O17 0.5525 0.1340 0.9017  4 Ac 2.43-2.61
O18 0.4970 0.5941 0.8849  1 Te 1.93
O19 0.0525 0.3660 0.9017  4 Ac 2.43-2.61
O20 0.9970 0.9059 0.8849  1 Te 1.93



AcTeO: relaxed, PBE.

Computed properties:
SG = No. 187
ΔE_f (raw) = -2.10 eV/atom
Energy above the lowest structure with this stoichiometry = 258.8 meV per atom

Unit cell a=4.0991 b=4.0991 c=5.7946 alpha=90.00 beta=90.00 gamma=120.00
With the nearest neighbours (Å) after each atom.
Fractional coordinates of all 3 atoms:
Ac1 0.6667 0.3333 0.4999  3 O 2.37
Te1 0.0000 0.0000 0.0000  6 O 3.74, 6 Ac 3.74, 6 Te 4.10
O1 0.3333 0.6667 0.5001  3 Ac 2.37



Ac2Te2O7: relaxed, PBE.

Computed properties:
SG = No. 227
ΔE_f (raw) = -2.10 eV/atom

Unit cell a=7.9887 b=7.9887 c=7.9887 alpha=60.00 beta=60.00 gamma=60.00
With the nearest neighbours (Å) after each atom.
Fractional coordinates of all 22 atoms:
Ac1 0.6250 0.6250 0.6250  8 O 2.45-2.73
Ac2 0.6250 0.6250 0.1250  8 O 2.45-2.73
Ac3 0.6250 0.1250 0.6250  8 O 2.45-2.73
Ac4 0.1250 0.6250 0.6250  8 O 2.45-2.73
Te1 0.6250 0.1250 0.1250  6 O 2.22
Te2 0.1250 0.6250 0.1250  6 O 2.22
Te3 0.1250 0.1250 0.6250  6 O 2.22
Te4 0.1250 0.1250 0.1250  6 O 2.22
O1 0.2100 0.2100 0.7900  2 Te 2.22
O2 0.2100 0.7900 0.2100  2 Te 2.22
O3 0.4600 0.0400 0.4600  2 Te 2.22
O4 0.4600 0.4600 0.0400  2 Te 2.22
O5 0.7500 0.7500 0.7500  4 Ac 2.45
O6 0.7900 0.2100 0.2100  2 Te 2.22
O7 0.4600 0.0400 0.0400  2 Te 2.22
O8 0.0400 0.4600 0.4600  2 Te 2.22
O9 0.0400 0.0400 0.4600  2 Te 2.22
O10 0.0400 0.4600 0.0400  2 Te 2.22
O11 0.2100 0.7900 0.7900  2 Te 2.22
O12 0.5000 0.5000 0.5000  4 Ac 2.45
O13 0.7900 0.2100 0.7900  2 Te 2.22
O14 0.7900 0.7900 0.2100  2 Te 2.22



Ac4Te3O2: relaxed, PBE.

Computed properties:
SG = No. 12
ΔE_f (raw) = -2.23 eV/atom
Energy above the lowest structure with this stoichiometry = 0.0 meV per atom

Unit cell a=4.3717 b=7.6185 c=9.1205 alpha=70.89 beta=76.13 gamma=73.33
With the nearest neighbours (Å) after each atom.
Fractional coordinates of all 9 atoms:
Ac1 0.3128 0.2590 0.1154  1 O 2.51
Ac2 0.6872 0.7410 0.8846  1 O 2.51
Ac3 0.1189 0.1716 0.5906  3 O 2.48-2.54
Ac4 0.8811 0.8284 0.4094  3 O 2.48-2.54
Te1 0.3899 0.5080 0.7122  7 Ac 3.38-3.73
Te2 0.0000 0.0000 0.0000  6 Ac 3.24-3.49
Te3 0.6101 0.4920 0.2878  7 Ac 3.38-3.73
O1 0.3057 0.0114 0.3772  4 Ac 2.48-2.54
O2 0.6943 0.9886 0.6228  4 Ac 2.48-2.54



Ac4Te6O19: relaxed, PBE.

Computed properties:
SG = No. 197
ΔE_f (raw) = -1.73 eV/atom

Unit cell a=8.5351 b=8.5351 c=8.5351 alpha=109.47 beta=109.47 gamma=109.47
With the nearest neighbours (Å) after each atom.
Fractional coordinates of all 29 atoms:
Ac1 0.0000 0.0000 0.7103  4 O 2.47-2.57
Ac2 0.0000 0.7103 0.0000  4 O 2.47-2.57
Ac3 0.2897 0.2897 0.2897  4 O 2.47-2.57
Ac4 0.7103 0.0000 0.0000  4 O 2.47-2.57
Te1 0.3453 0.5000 0.8453  4 O 2.00-2.12
Te2 0.6547 0.5000 0.1547  4 O 2.00-2.12
Te3 0.1547 0.6547 0.5000  4 O 2.00-2.12
Te4 0.8453 0.3453 0.5000  4 O 2.00-2.12
Te5 0.5000 0.8453 0.3453  4 O 2.00-2.12
Te6 0.5000 0.1547 0.6547  4 O 2.00-2.12
O1 0.6933 0.0000 0.6933  2 Te 2.44, 2 Ac 2.57
O2 0.3067 0.0000 0.3067  2 Te 2.44, 2 Ac 2.57
O3 0.3067 0.3067 0.0000  2 Te 2.44, 2 Ac 2.57
O4 0.6933 0.6933 0.0000  2 Te 2.44, 2 Ac 2.57
O5 0.0000 0.6933 0.6933  2 Te 2.44, 2 Ac 2.57
O6 0.0000 0.3067 0.3067  2 Te 2.44, 2 Ac 2.57
O7 0.0000 0.0000 0.0000  4 Ac 2.47
O8 0.3454 0.2855 0.6291  2 Te 2.00-2.12
O9 0.6546 0.2837 0.9401  2 Te 2.00-2.12
O10 0.6563 0.7163 0.3709  2 Te 2.00-2.12
O11 0.9401 0.6546 0.2837  2 Te 2.00-2.12
O12 0.3437 0.7145 0.0599  2 Te 2.00-2.12
O13 0.6291 0.3454 0.2855  2 Te 2.00-2.12
O14 0.0599 0.3437 0.7145  2 Te 2.00-2.12
O15 0.3709 0.6563 0.7163  2 Te 2.00-2.12
O16 0.7145 0.0599 0.3437  2 Te 2.00-2.12
O17 0.2837 0.9401 0.6546  2 Te 2.00-2.12
O18 0.2855 0.6291 0.3454  2 Te 2.00-2.12
O19 0.7163 0.3709 0.6563  2 Te 2.00-2.12



AcTeO3: relaxed, PBE.

Computed properties:
SG = No. 14
ΔE_f (raw) = -2.04 eV/atom

Unit cell a=7.7303 b=6.9267 c=7.3583 alpha=90.00 beta=105.47 gamma=90.00
With the nearest neighbours (Å) after each atom.
Fractional coordinates of all 20 atoms:
Ac1 0.7690 0.6401 0.3575  7 O 2.51-2.67
Ac2 0.7310 0.1401 0.1425  7 O 2.51-2.67
Ac3 0.2310 0.3599 0.6425  7 O 2.51-2.67
Ac4 0.2690 0.8599 0.8575  7 O 2.51-2.67
Te1 0.2185 0.8248 0.3500  3 O 1.93-2.15
Te2 0.2815 0.3248 0.1500  3 O 1.93-2.15
Te3 0.7815 0.1752 0.6500  3 O 1.93-2.15
Te4 0.7185 0.6752 0.8500  3 O 1.93-2.15
O1 0.5947 0.8062 0.0488  1 Te 2.15
O2 0.9053 0.3062 0.4512  1 Te 2.15
O3 0.4053 0.1938 0.9512  1 Te 2.15
O4 0.0947 0.6938 0.5488  1 Te 2.15
O5 0.9732 0.8688 0.2076  1 Te 1.93
O6 0.5268 0.3688 0.2924  1 Te 1.93
O7 0.0268 0.1312 0.7924  1 Te 1.93
O8 0.4732 0.6312 0.7076  1 Te 1.93
O9 0.2852 0.0240 0.5425  1 Te 1.95
O10 0.2148 0.5240 0.9575  1 Te 1.95
O11 0.7148 0.9760 0.4575  1 Te 1.95
O12 0.7852 0.4760 0.0425  1 Te 1.95